VASP calculation (PBE) on an optimized crystal structure of Mg2ReAu.

## Properties
ΔH_f (0 K)   1.5 eV per formula unit
ΔE to the lowest computed polymorph   390 meV per atom
Total DFT energy (no corrections)   -4.35 eV/atom

Cell: 4.6204 4.6204 4.6204 Å, 60.00 60.00 60.00°
Closest atoms and distances in Å follow each position.
Fractional coordinates of all 4 atoms:
Mg1 0.0000 0.0000 0.0000  4 Re 2.83, 4 Mg 2.83
Mg2 0.2500 0.2500 0.2500  4 Au 2.83, 4 Mg 2.83
Re1 0.7500 0.7500 0.7500  4 Mg 2.83, 4 Au 2.83
Au1 0.5000 0.5000 0.5000  4 Re 2.83, 4 Mg 2.83

***

VASP calculation (PBE) on an optimized crystal structure of MgRe4Au.

## Properties
ΔH_f (0 K)   2.8 eV per formula unit
Total DFT energy (no corrections)   -8.64 eV/atom

Cell: 5.2375 5.2375 5.2375 Å, 60.00 60.00 60.00°
Closest atoms and distances in Å follow each position.
Fractional coordinates of all 6 atoms:
Mg1 0.0000 0.0000 0.0000  12 Re 3.07, 4 Au 3.21
Re1 0.1267 0.6244 0.6244  6 Re 2.61-2.63
Re2 0.6244 0.1267 0.6244  6 Re 2.61-2.63
Re3 0.6244 0.6244 0.1267  6 Re 2.61-2.63
Re4 0.6244 0.6244 0.6244  6 Re 2.61-2.63
Au1 0.2500 0.2500 0.2500  12 Re 3.07, 4 Mg 3.21

***

VASP calculation (PBE) on an optimized crystal structure of MgRe2Au.

## Properties
ΔH_f (0 K)   1.3 eV per formula unit
Total DFT energy (no corrections)   -7.11 eV/atom

Cell: 3.7557 3.7557 4.5338 Å, 90.00 90.00 90.00°
Closest atoms and distances in Å follow each position.
Fractional coordinates of all 4 atoms:
Mg1 0.0000 0.0000 0.0000  4 Au 2.66, 8 Re 2.94
Re1 0.0000 0.5000 0.5000  4 Re 2.66, 4 Mg 2.94, 4 Au 2.94
Re2 0.5000 0.0000 0.5000  4 Re 2.66, 4 Mg 2.94, 4 Au 2.94
Au1 0.5000 0.5000 0.0000  4 Mg 2.66, 8 Re 2.94

***

VASP calculation (PBE) on an optimized crystal structure of Mg2ReAu.

## Properties
ΔH_f (0 K)   0.9 eV per formula unit
ΔE to the lowest computed polymorph   235 meV per atom
Total DFT energy (no corrections)   -4.51 eV/atom

Cell: 5.4791 5.4791 5.4791 Å, 148.72 126.20 63.57°
Closest atoms and distances in Å follow each position.
Fractional coordinates of all 4 atoms:
Mg1 0.2430 0.2430 0.0000  2 Au 2.70, 2 Re 2.81, 6 Mg 2.89-2.95
Mg2 0.7570 0.7570 0.0000  2 Au 2.70, 2 Re 2.81, 6 Mg 2.89-2.95
Re1 0.5000 0.0000 0.5000  4 Mg 2.81, 4 Au 2.89, 2 Re 2.95
Au1 0.0000 0.5000 0.5000  4 Mg 2.70, 4 Re 2.89, 2 Au 2.95